# Ac2TbDySe6

An optimized crystal structure of Ac2TbDySe6 (PBE, the Alexandria database).

As for the theoretical density: 6.41 g/cm3. For the total DFT energy (no corrections), the calculation gives -57.6 eV/cell. As for the uncorrected formation energy: -19.25 eV/f.u.

Lattice parameters (Å, degrees): 7.842 7.842 7.842 57.81 57.81 57.81
Sites, in units of the cell vectors:
Ac: 0.000 0.000 0.000
Ac: 0.500 0.500 0.500
Tb: 0.210 0.210 0.210
Dy: 0.710 0.710 0.710
Se: 0.071 0.843 0.431
Se: 0.344 0.572 0.929
Se: 0.431 0.071 0.843
Se: 0.572 0.929 0.344
Se: 0.843 0.431 0.071
Se: 0.929 0.344 0.572

# SbSeCl2

An optimized crystal structure of SbSeCl2 (PBE, the Alexandria database).

As for the theoretical density: 4.68 g/cm3. As for the relative energy among the computed polymorphs: 1.52 eV per formula unit. For the total DFT energy (no corrections), the calculation gives -11.4 eV/cell. As for the uncorrected formation energy: -0.05 eV/f.u.

Lattice parameters (Å, degrees): 5.724 5.691 4.512 67.11 66.33 46.57
Sites, in units of the cell vectors:
Sb: 0.000 0.000 0.000
Se: 0.500 0.500 0.500
Cl: 0.000 0.500 0.500
Cl: 0.500 0.000 0.000

# Ac2CeSn3Pd6

An optimized crystal structure of Ac2CeSn3Pd6 (PBE, the Alexandria database).

As for the theoretical density: 8.33 g/cm3. The value obtained for the formation energy is -623 kJ/mol of formula units. For the total DFT energy (no corrections), the calculation gives -63.8 eV/cell.

Lattice parameters (Å, degrees): 4.242 4.242 17.595 90.00 90.00 90.00
Sites, in units of the cell vectors:
Ac: 0.000 0.000 0.181
Ac: 0.000 0.000 0.819
Ce: 0.000 0.000 0.500
Sn: 0.500 0.500 0.000
Sn: 0.500 0.500 0.297
Sn: 0.500 0.500 0.703
Pd: 0.000 0.500 0.390
Pd: 0.000 0.500 0.610
Pd: 0.500 0.000 0.390
Pd: 0.500 0.000 0.610
Pd: 0.500 0.500 0.145
Pd: 0.500 0.500 0.855

# KFeBr3

An optimized crystal structure of KFeBr3 (PBE, the Alexandria database).

As for the theoretical density: 3.84 g/cm3. For the total DFT energy (no corrections), the calculation gives -18.9 eV/cell. As for the uncorrected formation energy: -4.30 eV/f.u.

Lattice parameters (Å, degrees): 5.250 5.250 5.250 90.00 90.00 90.00
Sites, in units of the cell vectors:
K: 0.000 0.000 0.000
Fe: 0.500 0.500 0.500
Br: 0.000 0.500 0.500
Br: 0.500 0.000 0.500
Br: 0.500 0.500 0.000

# Rb2BaBr

An optimized crystal structure of Rb2BaBr (PBE, the Alexandria database).

As for the theoretical density: 2.53 g/cm3. As for the relative energy among the computed polymorphs: 1.82 eV per formula unit. For the total DFT energy (no corrections), the calculation gives -6.6 eV/cell. As for the uncorrected formation energy: -1.06 eV/f.u.

Lattice parameters (Å, degrees): 7.118 7.118 7.118 60.00 60.00 60.00
Sites, in units of the cell vectors:
Rb: 0.250 0.250 0.250
Rb: 0.750 0.750 0.750
Ba: 0.000 0.000 0.000
Br: 0.500 0.500 0.500

# Er4SnBi2Te

An optimized crystal structure of Er4SnBi2Te (PBE, the Alexandria database).

As for the theoretical density: 9.17 g/cm3. For the total DFT energy (no corrections), the calculation gives -40.4 eV/cell. As for the uncorrected formation energy: -7.27 eV/f.u.

Lattice parameters (Å, degrees): 7.637 7.637 7.637 131.96 131.96 70.30
Sites, in units of the cell vectors:
Er: 0.000 0.500 0.500
Er: 0.244 0.244 0.000
Er: 0.500 0.000 0.500
Er: 0.756 0.756 0.000
Sn: 0.000 0.000 0.000
Bi: 0.250 0.750 0.500
Bi: 0.750 0.250 0.500
Te: 0.500 0.500 0.000

# Ca3Tb3CuSe8

An optimized crystal structure of Ca3Tb3CuSe8 (PBE, the Alexandria database).

As for the theoretical density: 5.41 g/cm3. For the total DFT energy (no corrections), the calculation gives -76.6 eV/cell. As for the uncorrected formation energy: -24.77 eV/f.u.

Lattice parameters (Å, degrees): 8.201 8.201 8.296 119.62 119.62 60.02
Sites, in units of the cell vectors:
Ca: 0.000 0.000 0.000
Ca: 0.000 0.500 0.000
Ca: 0.500 0.000 0.000
Tb: 0.000 0.500 0.500
Tb: 0.500 0.000 0.500
Tb: 0.500 0.500 0.500
Cu: 0.000 0.000 0.500
Se: 0.240 0.240 0.733
Se: 0.241 0.751 0.733
Se: 0.249 0.759 0.267
Se: 0.252 0.252 0.255
Se: 0.748 0.748 0.745
Se: 0.751 0.241 0.733
Se: 0.759 0.249 0.267
Se: 0.760 0.760 0.267

# Ho5Bi4H3

An optimized crystal structure of Ho5Bi4H3 (PBE, the Alexandria database).

As for the theoretical density: 8.92 g/cm3. For the total DFT energy (no corrections), the calculation gives -50.7 eV/cell.

Lattice parameters (Å, degrees): 9.698 9.698 8.966 106.83 106.83 22.61
Sites, in units of the cell vectors:
Ho: 0.000 0.000 0.000
Ho: 0.176 0.176 0.385
Ho: 0.351 0.351 0.287
Ho: 0.649 0.649 0.713
Ho: 0.824 0.824 0.615
Bi: 0.184 0.184 0.031
Bi: 0.472 0.472 0.647
Bi: 0.528 0.528 0.353
Bi: 0.816 0.816 0.969
H: 0.090 0.090 0.192
H: 0.500 0.500 0.000
H: 0.910 0.910 0.808

# SrSiAsSe2

An optimized crystal structure of SrSiAsSe2 (PBE, the Alexandria database).

As for the theoretical density: 3.20 g/cm3. As for the relative energy among the computed polymorphs: 6.60 eV per formula unit. For the total DFT energy (no corrections), the calculation gives -14.5 eV/cell. As for the uncorrected formation energy: 4.21 eV/f.u.

Lattice parameters (Å, degrees): 5.664 5.664 5.639 90.00 90.00 90.00
Sites, in units of the cell vectors:
Sr: 0.000 0.000 0.000
Si: 0.500 0.500 0.500
As: 0.000 0.000 0.500
Se: 0.000 0.500 0.000
Se: 0.500 0.000 0.000

# Er4InHgC

An optimized crystal structure of Er4InHgC (PBE, the Alexandria database).

As for the theoretical density: 9.38 g/cm3. The value obtained for the formation energy is -250 kJ/mol of formula units. For the total DFT energy (no corrections), the calculation gives -66.2 eV/cell.

Lattice parameters (Å, degrees): 8.209 8.209 6.881 90.00 90.00 130.46
Sites, in units of the cell vectors:
Er: 0.000 0.500 0.000
Er: 0.000 0.500 0.500
Er: 0.084 0.916 0.750
Er: 0.412 0.588 0.750
Er: 0.500 0.000 0.000
Er: 0.500 0.000 0.500
Er: 0.588 0.412 0.250
Er: 0.916 0.084 0.250
In: 0.382 0.618 0.250
In: 0.618 0.382 0.750
Hg: 0.119 0.881 0.250
Hg: 0.881 0.119 0.750
C: 0.249 0.751 0.750
C: 0.751 0.249 0.250

# ScAlIn

An optimized crystal structure of ScAlIn (PBE, the Alexandria database).

As for the theoretical density: 5.01 g/cm3. The value obtained for the formation energy is -97 kJ/mol of formula units. For the total DFT energy (no corrections), the calculation gives -13.8 eV/cell.

Lattice parameters (Å, degrees): 4.672 4.672 3.275 90.00 90.00 120.00
Sites, in units of the cell vectors:
Sc: 0.000 0.000 0.000
Al: 0.667 0.333 0.500
In: 0.333 0.667 0.500

# AcDyCuHg

An optimized crystal structure of AcDyCuHg (PBE, the Alexandria database).

As for the theoretical density: 9.95 g/cm3. The value obtained for the formation energy is -94 kJ/mol of formula units. For the total DFT energy (no corrections), the calculation gives -14.1 eV/cell.

Lattice parameters (Å, degrees): 5.363 5.363 5.363 60.00 60.00 60.00
Sites, in units of the cell vectors:
Ac: 0.000 0.000 0.000
Dy: 0.500 0.500 0.500
Cu: 0.750 0.750 0.750
Hg: 0.250 0.250 0.250